[1]
# Ag2Sb2I | the Alexandria database | PBE | relaxed
# Magnetic moment (μB/f.u.): 0.00
# VASP energy (eV per atom): -2.914
# DOS at the Fermi energy (states/eV per atom): 0.344
# ΔE_f (raw) (meV/atom): 186
# Polymorph energy (0 for the lowest one) (eV per atom): 0.0000
data_Ag2Sb2I
_chemical_formula_sum 'Ag4 Sb4 I2'
_symmetry_space_group_name_H-M 'I 4/m m m'
_symmetry_Int_Tables_number 139
_symmetry_space_group_name_Hall '-I 4 2'
_cell_length_a 4.284
_cell_length_b 4.284
_cell_length_c 14.957
_cell_angle_alpha 90.00
_cell_angle_beta 90.00
_cell_angle_gamma 90.00
loop_
_atom_site_label
_atom_site_type_symbol
_atom_site_fract_x
_atom_site_fract_y
_atom_site_fract_z
Ag1 Ag 0.000 0.000 0.099
Sb1 Sb 0.000 0.500 0.250
I1 I 0.000 0.000 0.500

=====

[2]
# AgSbI4 | the Alexandria database | PBE | relaxed
# Magnetic moment (μB/f.u.): 0.00
# VASP energy (eV per atom): -2.472
# ΔE_f (raw) (meV/atom): -276
data_AgSbI4
_chemical_formula_sum 'Ag1 Sb1 I4'
_symmetry_space_group_name_H-M 'P 1 2/m 1'
_symmetry_Int_Tables_number 10
_cell_length_a 7.422
_cell_length_b 4.336
_cell_length_c 7.783
_cell_angle_alpha 90.00
_cell_angle_beta 93.96
_cell_angle_gamma 90.00
loop_
_symmetry_equiv_pos_as_xyz
'x,y,z'
'-x,-y,-z'
'-x,y,-z'
'x,-y,z'
loop_
_atom_site_label
_atom_site_type_symbol
_atom_site_fract_x
_atom_site_fract_y
_atom_site_fract_z
Ag1 Ag 0.000 0.000 0.000
Sb1 Sb 0.000 0.500 0.500
I1 I 0.219 0.500 0.183
I2 I 0.251 0.000 0.664

=====

[3]
# Ag2SbI5 | the Alexandria database | PBE | relaxed
# Magnetic moment (μB/f.u.): 0.00
# VASP energy (eV per atom): -2.428
# DOS at the Fermi energy (states/eV per atom): 0.000
# ΔE_f (raw) (meV/atom): -231
data_Ag2SbI5
_chemical_formula_sum 'Ag2 Sb1 I5'
_symmetry_space_group_name_H-M 'P 1'
_symmetry_Int_Tables_number 1
_cell_length_a 7.499
_cell_length_b 7.913
_cell_length_c 8.089
_cell_angle_alpha 109.56
_cell_angle_beta 96.84
_cell_angle_gamma 117.22
loop_
_symmetry_equiv_pos_as_xyz
'x,y,z'
loop_
_atom_site_label
_atom_site_type_symbol
_atom_site_fract_x
_atom_site_fract_y
_atom_site_fract_z
Ag1 Ag 0.000 0.000 0.000
Ag2 Ag 0.321 0.342 0.386
Sb1 Sb 0.356 0.612 0.917
I1 I 0.093 0.435 0.155
I2 I 0.233 0.183 0.653
I3 I 0.403 0.059 0.110
I4 I 0.621 0.780 0.687
I5 I 0.728 0.731 0.170

=====

[4]
# AgSbI | the Alexandria database | PBE | relaxed
# Magnetic moment (μB/f.u.): 0.00
# VASP energy (eV per atom): -2.856
# DOS at the Fermi energy (states/eV per atom): 0.005
# ΔE_f (raw) (meV/atom): -15
# Polymorph energy (0 for the lowest one) (eV per atom): 0.0917
data_AgSbI
_chemical_formula_sum 'Ag2 Sb2 I2'
_symmetry_space_group_name_H-M 'P 1'
_symmetry_Int_Tables_number 1
_cell_length_a 4.361
_cell_length_b 7.278
_cell_length_c 7.518
_cell_angle_alpha 82.24
_cell_angle_beta 73.14
_cell_angle_gamma 72.72
loop_
_symmetry_equiv_pos_as_xyz
'x,y,z'
loop_
_atom_site_label
_atom_site_type_symbol
_atom_site_fract_x
_atom_site_fract_y
_atom_site_fract_z
Ag1 Ag 0.000 0.000 0.000
Ag2 Ag 0.279 0.655 0.792
Sb1 Sb 0.187 0.026 0.606
Sb2 Sb 0.866 0.895 0.379
I1 I 0.006 0.497 0.496
I2 I 0.364 0.289 0.988

=====

[5]
# Ag5Sb3I12 | the Alexandria database | PBE | relaxed
# Magnetic moment (μB/f.u.): 0.00
# VASP energy (eV per atom): -2.330
# DOS at the Fermi energy (states/eV per atom): 0.073
# ΔE_f (raw) (meV/atom): -69
data_Ag5Sb3I12
_chemical_formula_sum 'Ag40 Sb24 I96'
_symmetry_space_group_name_H-M 'I a -3 d'
_symmetry_Int_Tables_number 230
_symmetry_space_group_name_Hall '-I 4bd 2c 3'
_cell_length_a 18.428
_cell_length_b 18.428
_cell_length_c 18.428
_cell_angle_alpha 90.00
_cell_angle_beta 90.00
_cell_angle_gamma 90.00
loop_
_atom_site_label
_atom_site_type_symbol
_atom_site_fract_x
_atom_site_fract_y
_atom_site_fract_z
Ag1 Ag 0.000 0.000 0.000
Ag2 Ag 0.000 0.250 0.375
Sb1 Sb 0.000 0.250 0.125
I1 I 0.012 0.048 0.657

=====

[6]
# AgSbI | the Alexandria database | PBE | relaxed
# Magnetic moment (μB/f.u.): 0.00
# VASP energy (eV per atom): -2.948
# ΔE_f (raw) (meV/atom): -106
# Polymorph energy (0 for the lowest one) (eV per atom): 0.0000
data_AgSbI
_chemical_formula_sum 'Ag2 Sb2 I2'
_symmetry_space_group_name_H-M 'P -1'
_symmetry_Int_Tables_number 2
_cell_length_a 4.295
_cell_length_b 7.526
_cell_length_c 7.755
_cell_angle_alpha 116.00
_cell_angle_beta 96.98
_cell_angle_gamma 97.51
loop_
_symmetry_equiv_pos_as_xyz
'x,y,z'
'-x,-y,-z'
loop_
_atom_site_label
_atom_site_type_symbol
_atom_site_fract_x
_atom_site_fract_y
_atom_site_fract_z
Ag1 Ag 0.123 0.333 0.270
Sb1 Sb 0.257 0.945 0.095
I1 I 0.277 0.382 0.673